# KH4O2F | the Alexandria database | GGA-PBE | optimized geometry
data_KH4O2F
_chemical_formula_sum 'K2 H8 O4 F2'
_symmetry_space_group_name_H-M 'P 1'
_symmetry_Int_Tables_number 1
_cell_length_a 4.1589
_cell_length_b 5.1955
_cell_length_c 8.8416
_cell_angle_alpha 90.00
_cell_angle_beta 90.00
_cell_angle_gamma 90.00
loop_
_symmetry_equiv_pos_as_xyz
'x,y,z'
loop_
_atom_site_label
_atom_site_type_symbol
_atom_site_fract_x
_atom_site_fract_y
_atom_site_fract_z
H1 H 0.0000 0.1403 0.4665
H2 H 0.6890 0.0954 0.6781
H3 H 0.0000 0.7804 0.7942
F1 F 0.0000 0.0887 0.1137
O1 O 0.0000 0.2909 0.3981
O2 O 0.5000 0.8000 0.2087
H4 H 0.3110 0.9046 0.1781
O3 O 0.0000 0.7091 0.8981
K1 K 0.5000 0.6051 0.4960
F2 F 0.0000 0.9113 0.6137
H5 H 0.0000 0.2196 0.2942
K2 K 0.5000 0.3949 0.9960
H6 H 0.6890 0.9046 0.1781
H7 H 0.0000 0.8597 0.9665
H8 H 0.3110 0.0954 0.6781
O4 O 0.5000 0.2000 0.7087
# DOS at the Fermi energy = 0.00 states/eV/cell
# Final energy = -4.77 eV/atom
# Space-group type = Pmc2_1